[1]
{
  "formula": "Li2TlTc2",
  "functional": "PBE",
  "state": "optimized geometry",
  "lattice_angstrom": [[-2.3419, 2.3419, 3.9555], [2.3419, -2.3419, 3.9555], [2.3419, 2.3419, -3.9555]],
  "species": ["Li", "Li", "Tl", "Tc", "Tc"],
  "frac_coords": [[0.2500, 0.7500, 0.5000], [0.7500, 0.2500, 0.5000], [0.0000, 0.0000, 0.0000], [0.3606, 0.3606, 0.0000], [0.6394, 0.6394, 0.0000]],
  "delta_e_f_mev_per_atom": 850,
  "e_tot_ev_per_atom": -4.535,
  "magmom_total_mub_per_cell": 1.061
}

[2]
{
  "formula": "LiTl4Tc",
  "functional": "PBE",
  "state": "optimized geometry",
  "lattice_angstrom": [[0.0000, 4.3784, 4.3784], [4.3784, 0.0000, 4.3784], [4.3784, 4.3784, 0.0000]],
  "species": ["Li", "Tl", "Tl", "Tl", "Tl", "Tc"],
  "frac_coords": [[0.0000, 0.0000, 0.0000], [0.3753, 0.3753, 0.3753], [0.3753, 0.3753, 0.8740], [0.3753, 0.8740, 0.3753], [0.8740, 0.3753, 0.3753], [0.7500, 0.7500, 0.7500]],
  "delta_e_f_mev_per_atom": 771,
  "e_tot_ev_per_atom": -2.853,
  "magmom_total_mub_per_cell": 3.609
}

[3]
{
  "formula": "LiTlTc",
  "functional": "PBE",
  "state": "optimized geometry",
  "lattice_angstrom": [[0.0000, 2.3262, 7.0192], [1.6565, 0.0000, 7.0192], [1.6565, 2.3262, 0.0000]],
  "species": ["Li", "Tl", "Tc"],
  "frac_coords": [[0.0000, 0.0000, 0.0000], [0.3257, 0.3257, 0.6743], [0.6529, 0.6529, 0.3471]],
  "delta_e_f_mev_per_atom": 518,
  "e_tot_ev_per_atom": -4.364,
  "magmom_total_mub_per_cell": 0.000
}

[4]
{
  "formula": "LiTlTc",
  "functional": "PBE",
  "state": "optimized geometry",
  "lattice_angstrom": [[4.5480, 0.0000, 0.0000], [-2.2740, 3.9387, 0.0000], [0.0000, 0.0000, 2.8355]],
  "species": ["Li", "Tl", "Tc"],
  "frac_coords": [[0.0000, 0.0000, 0.0000], [0.3333, 0.6667, 0.0000], [0.6667, 0.3333, 0.5000]],
  "delta_e_f_mev_per_atom": 494,
  "e_tot_ev_per_atom": -4.388,
  "magmom_total_mub_per_cell": 0.213
}

[5]
{
  "formula": "LiTl2Tc",
  "functional": "PBE",
  "state": "optimized geometry",
  "lattice_angstrom": [[0.0000, 3.5043, 3.5043], [3.5043, 0.0000, 3.5043], [3.5043, 3.5043, 0.0000]],
  "species": ["Li", "Tl", "Tl", "Tc"],
  "frac_coords": [[0.0000, 0.0000, 0.0000], [0.2500, 0.2500, 0.2500], [0.5000, 0.5000, 0.5000], [0.7500, 0.7500, 0.7500]],
  "delta_e_f_mev_per_atom": 684,
  "e_tot_ev_per_atom": -3.569,
  "magmom_total_mub_per_cell": 2.870
}

[6]
{
  "formula": "LiTlTc",
  "functional": "PBE",
  "state": "optimized geometry",
  "lattice_angstrom": [[2.9651, 0.0000, 0.0000], [-1.4826, 2.5679, 0.0000], [0.0000, 0.0000, 7.1487]],
  "species": ["Li", "Tl", "Tc"],
  "frac_coords": [[0.0000, 0.0000, 0.0000], [0.6667, 0.3333, 0.6534], [0.3333, 0.6667, 0.3112]],
  "delta_e_f_mev_per_atom": 527,
  "e_tot_ev_per_atom": -4.356,
  "magmom_total_mub_per_cell": 0.003
}

[7]
{
  "formula": "Li2TlTc2",
  "functional": "PBE",
  "state": "optimized geometry",
  "lattice_angstrom": [[7.1466, 0.0000, 0.0000], [0.0000, 7.1466, 0.0000], [0.0000, 0.0000, 3.1928]],
  "species": ["Li", "Li", "Li", "Li", "Tl", "Tl", "Tc", "Tc", "Tc", "Tc"],
  "frac_coords": [[0.1836, 0.3164, 0.0000], [0.3164, 0.8164, 0.0000], [0.6836, 0.1836, 0.0000], [0.8164, 0.6836, 0.0000], [0.0000, 0.0000, 0.5000], [0.5000, 0.5000, 0.5000], [0.1082, 0.6082, 0.5000], [0.3918, 0.1082, 0.5000], [0.6082, 0.8918, 0.5000], [0.8918, 0.3918, 0.5000]],
  "delta_e_f_mev_per_atom": 419,
  "e_tot_ev_per_atom": -4.966,
  "magmom_total_mub_per_cell": 0.000
}

[8]
{
  "formula": "LiTl2Tc",
  "functional": "PBE",
  "state": "optimized geometry",
  "lattice_angstrom": [[0.0000, 3.3583, 3.3583], [3.3583, 0.0000, 3.3583], [3.3583, 3.3583, 0.0000]],
  "species": ["Li", "Tl", "Tl", "Tc"],
  "frac_coords": [[0.0000, 0.0000, 0.0000], [0.2500, 0.2500, 0.2500], [0.7500, 0.7500, 0.7500], [0.5000, 0.5000, 0.5000]],
  "delta_e_f_mev_per_atom": 382,
  "e_tot_ev_per_atom": -3.871,
  "magmom_total_mub_per_cell": 0.000
}